1.
Entry from the Alexandria database: an optimized crystal structure of Ti3AuN (GGA-PBE).

Summary:
- Volume: 75.4 Å³/f.u.
- Formation energy from raw total energies: -470 meV per atom
- Symmetry: Pmmn (59)
- Fermi-level density of states: 11.2 states/eV per cell

a = 4.3315 Å, b = 5.6439 Å, c = 6.1699 Å
α = 90.00°, β = 90.00°, γ = 90.00°
Atoms (fractional coordinates):
Ti  0.2500  0.0018  0.1299
Ti  0.2500  0.4982  0.1299
Ti  0.2500  0.7500  0.6148
Ti  0.7500  0.2500  0.3852
Ti  0.7500  0.5018  0.8701
Ti  0.7500  0.9982  0.8701
Au  0.2500  0.2500  0.7271
Au  0.7500  0.7500  0.2729
N  0.2500  0.2500  0.3511
N  0.7500  0.7500  0.6489

2.
Entry from the Alexandria database: an optimized crystal structure of ZnOs2Rh (GGA-PBE).

Summary:
- Volume: 85.2 Å³/f.u.
- ΔH_f (0 K): 1.71 eV/atom
- Symmetry: I-42d (122)
- Fermi-level density of states: 9.6 states/eV per cell

a = 6.5542 Å, b = 6.5542 Å, c = 6.5542 Å
α = 127.86°, β = 127.86°, γ = 76.85°
Atoms (fractional coordinates):
Zn  0.0000  0.0000  0.0000
Zn  0.7500  0.2500  0.5000
Os  0.1382  0.6250  0.0132
Os  0.3750  0.3882  0.5132
Os  0.6118  0.1250  0.9868
Os  0.8750  0.8618  0.4868
Rh  0.2500  0.7500  0.5000
Rh  0.5000  0.5000  0.0000